Record 1
Material: KAsS3
Method: DFT, PBE-GGA
State: relaxed

a b c (Å): 4.6823 7.9424 7.8319
angles (deg): 90.00 100.60 90.00
Atoms (fractional coordinates):
K 0.0541 0.0000 0.1807
K 0.9459 0.5000 0.8193
As 0.2870 0.9967 0.7558
As 0.7130 0.4967 0.2442
S 0.0957 0.3566 0.4331
S 0.4047 0.5403 0.4525
S 0.4950 0.8001 0.9256
S 0.5050 0.3001 0.0744
S 0.5953 0.0403 0.5475
S 0.9043 0.8566 0.5669

For the density of states at the Fermi level, the calculation gives 0.00 states/eV/f.u. Its space group is P2_1, No. 4.

---

Record 2
Material: KAsS2
Method: DFT, PBE-GGA
State: relaxed

a b c (Å): 8.8316 8.8316 8.8316
angles (deg): 25.15 25.15 25.15
Atoms (fractional coordinates):
K 0.0000 0.0000 0.0000
As 0.5000 0.5000 0.5000
S 0.1126 0.1126 0.1126
S 0.8874 0.8874 0.8874

For the density of states at the Fermi level, the calculation gives 0.00 states/eV/f.u. Its space group is R-3m, No. 166.

---

Record 3
Material: K4AsS4
Method: DFT, PBE-GGA
State: relaxed

a b c (Å): 8.3111 8.3111 8.3111
angles (deg): 126.80 126.80 78.57
Atoms (fractional coordinates):
K 0.0000 0.5000 0.5000
K 0.2052 0.2052 0.0000
K 0.5000 0.0000 0.5000
K 0.7948 0.7948 0.0000
As 0.5000 0.5000 0.0000
S 0.2108 0.5742 0.0000
S 0.4258 0.4258 0.6366
S 0.5742 0.2108 0.0000
S 0.7892 0.7892 0.3634

For the density of states at the Fermi level, the calculation gives 3.51 states/eV/f.u. Its space group is I-42m, No. 121.

---

Record 4
Material: K2As2S5
Method: DFT, PBE-GGA
State: relaxed

a b c (Å): 7.1931 7.1931 7.6190
angles (deg): 102.80 102.80 42.09
Atoms (fractional coordinates):
K 0.1000 0.1000 0.3272
K 0.9000 0.9000 0.6728
As 0.3435 0.3435 0.1117
As 0.6565 0.6565 0.8883
S 0.1739 0.1739 0.9571
S 0.3545 0.3545 0.3975
S 0.5000 0.5000 0.0000
S 0.6455 0.6455 0.6025
S 0.8261 0.8261 0.0429

Its space group is C2/m, No. 12.

---

Record 5
Material: KAsS2
Method: DFT, PBE-GGA
State: relaxed

a b c (Å): 7.3187 7.3187 7.3187
angles (deg): 123.97 123.97 83.25
Atoms (fractional coordinates):
K 0.0000 0.0000 0.0000
K 0.7500 0.2500 0.5000
As 0.2500 0.7500 0.5000
As 0.5000 0.5000 0.0000
S 0.2185 0.6250 0.0935
S 0.3750 0.4685 0.5935
S 0.5315 0.1250 0.9065
S 0.8750 0.7815 0.4065

For the density of states at the Fermi level, the calculation gives 0.06 states/eV/f.u. Its space group is I-42d, No. 122.

---

Record 6
Material: KSbAs2S
Method: DFT, PBE-GGA
State: relaxed

a b c (Å): 5.4019 5.4019 5.2190
angles (deg): 90.00 90.00 90.00
Atoms (fractional coordinates):
K 0.0000 0.0000 0.0000
Sb 0.5000 0.5000 0.5000
As 0.0000 0.5000 0.0000
As 0.5000 0.0000 0.0000
S 0.0000 0.0000 0.5000

For the density of states at the Fermi level, the calculation gives 7.86 states/eV/f.u. Its space group is P4/mmm, No. 123.

---

Record 7
Material: K2SbAsS4
Method: DFT, PBE-GGA
State: relaxed

a b c (Å): 8.2605 8.2605 8.2605
angles (deg): 120.81 119.19 90.01
Atoms (fractional coordinates):
K 0.0000 0.0000 0.0000
K 0.5000 0.0000 0.0000
K 0.5000 0.0000 0.5000
K 0.5000 0.5000 0.5000
Sb 0.0000 0.5000 0.5000
Sb 0.5000 0.5000 0.0000
As 0.0000 0.0000 0.5000
As 0.0000 0.5000 0.0000
S 0.1990 0.7395 0.4595
S 0.2200 0.2605 0.9595
S 0.2284 0.2510 0.5226
S 0.2284 0.7058 0.9774
S 0.7716 0.2942 0.0226
S 0.7716 0.7490 0.4774
S 0.7800 0.7395 0.0405
S 0.8010 0.2605 0.5405

Its space group is Imma, No. 74.

---

Record 8
Material: KSb2As2S6
Method: DFT, PBE-GGA
State: relaxed

a b c (Å): 6.9442 8.2046 8.2705
angles (deg): 100.01 112.87 101.97
Atoms (fractional coordinates):
K 0.0000 0.0000 0.0000
Sb 0.3417 0.0028 0.6281
Sb 0.6583 0.9972 0.3719
As 0.0684 0.3725 0.4394
As 0.9316 0.6275 0.5606
S 0.9998 0.2152 0.6268
S 0.0002 0.7848 0.3732
S 0.2224 0.7630 0.8190
S 0.3977 0.1597 0.3981
S 0.6023 0.8403 0.6019
S 0.7776 0.2370 0.1810

For the density of states at the Fermi level, the calculation gives 3.62 states/eV/f.u. Its space group is P-1, No. 2.

---

Record 9
Material: KAs2SeS
Method: DFT, PBE-GGA
State: relaxed

a b c (Å): 6.5992 6.5992 6.2443
angles (deg): 90.00 90.00 90.00
Atoms (fractional coordinates):
K 0.0000 0.0000 0.0000
As 0.0000 0.5000 0.0000
As 0.5000 0.0000 0.0000
Se 0.0000 0.0000 0.5000
S 0.5000 0.5000 0.5000

As for the distance to the lowest polymorph of the same formula: 1459 meV per atom. For the density of states at the Fermi level, the calculation gives 7.20 states/eV/f.u. Its space group is P4/mmm, No. 123.

---

Record 10
Material: K2AsSeS
Method: DFT, PBE-GGA
State: relaxed

a b c (Å): 6.2904 6.2904 4.8342
angles (deg): 90.00 90.00 90.00
Atoms (fractional coordinates):
K 0.0000 0.5000 0.0000
K 0.5000 0.0000 0.0000
As 0.0000 0.0000 0.5000
Se 0.5000 0.5000 0.0000
S 0.5000 0.5000 0.5000

For the density of states at the Fermi level, the calculation gives 4.96 states/eV/f.u. Its space group is P4/mmm, No. 123.

---

Record 11
Material: KAs2SeS
Method: DFT, PBE-GGA
State: relaxed

a b c (Å): 4.9931 4.9931 5.1422
angles (deg): 90.00 90.00 90.00
Atoms (fractional coordinates):
K 0.0000 0.0000 0.0000
As 0.0000 0.5000 0.5000
As 0.5000 0.0000 0.5000
Se 0.5000 0.5000 0.0000
S 0.5000 0.5000 0.5000

As for the distance to the lowest polymorph of the same formula: 0 meV per atom. For the density of states at the Fermi level, the calculation gives 3.69 states/eV/f.u. Its space group is P4/mmm, No. 123.

---

Record 12
Material: KSi2AsS6
Method: DFT, PBE-GGA
State: relaxed

a b c (Å): 9.0675 9.0675 6.5972
angles (deg): 101.48 101.48 91.26
Atoms (fractional coordinates):
K 0.1173 0.8827 0.7500
K 0.8827 0.1173 0.2500
Si 0.2100 0.3734 0.8001
Si 0.3734 0.2100 0.3001
Si 0.6266 0.7900 0.6999
Si 0.7900 0.6266 0.1999
As 0.2372 0.7628 0.2500
As 0.7628 0.2372 0.7500
S 0.0199 0.2047 0.7185
S 0.1317 0.5856 0.8839
S 0.2047 0.0199 0.2185
S 0.2915 0.3927 0.5087
S 0.3927 0.2915 0.0087
S 0.4144 0.8683 0.6161
S 0.5856 0.1317 0.3839
S 0.6073 0.7085 0.9913
S 0.7085 0.6073 0.4913
S 0.7953 0.9801 0.7815
S 0.8683 0.4144 0.1161
S 0.9801 0.7953 0.2815

Its space group is C2/c, No. 15.

---

Record 13
Material: K2SmAsS4
Method: DFT, PBE-GGA
State: relaxed

a b c (Å): 8.2998 8.2998 8.2998
angles (deg): 120.84 119.15 90.01
Atoms (fractional coordinates):
K 0.0000 0.0000 0.0000
K 0.5000 0.0000 0.0000
K 0.5000 0.0000 0.5000
K 0.5000 0.5000 0.5000
Sm 0.0000 0.5000 0.5000
Sm 0.5000 0.5000 0.0000
As 0.0000 0.0000 0.5000
As 0.0000 0.5000 0.0000
S 0.1983 0.7395 0.4588
S 0.2193 0.2605 0.9588
S 0.2279 0.2504 0.5226
S 0.2279 0.7053 0.9774
S 0.7721 0.2947 0.0226
S 0.7721 0.7496 0.4774
S 0.7807 0.7395 0.0412
S 0.8017 0.2605 0.5412

For the density of states at the Fermi level, the calculation gives 0.00 states/eV/f.u. Its space group is Imma, No. 74.

---

Record 14
Material: K2SnAsS4
Method: DFT, PBE-GGA
State: relaxed

a b c (Å): 8.2364 8.2364 8.2364
angles (deg): 121.46 118.38 90.16
Atoms (fractional coordinates):
K 0.0000 0.0000 0.0000
K 0.5000 0.0000 0.0000
K 0.5000 0.0000 0.5000
K 0.5000 0.5000 0.5000
Sn 0.0000 0.5000 0.5000
Sn 0.5000 0.5000 0.0000
As 0.0000 0.0000 0.5000
As 0.0000 0.5000 0.0000
S 0.1980 0.7388 0.4592
S 0.2204 0.2612 0.9592
S 0.2301 0.2577 0.5276
S 0.2301 0.7025 0.9724
S 0.7699 0.2975 0.0276
S 0.7699 0.7423 0.4724
S 0.7796 0.7388 0.0408
S 0.8020 0.2612 0.5408

For the density of states at the Fermi level, the calculation gives 3.68 states/eV/f.u. Its space group is Imma, No. 74.

---

Record 15
Material: K2SnAsS5
Method: DFT, PBE-GGA
State: relaxed

a b c (Å): 9.5482 9.5482 13.3222
angles (deg): 90.00 90.00 155.20
Atoms (fractional coordinates):
K 0.1226 0.8774 0.5000
K 0.1260 0.8740 0.8492
K 0.8740 0.1260 0.3492
K 0.8774 0.1226 0.0000
Sn 0.2128 0.7872 0.2052
Sn 0.7872 0.2128 0.7052
As 0.4278 0.5722 0.5965
As 0.5722 0.4278 0.0965
S 0.0598 0.9402 0.1829
S 0.3058 0.6942 0.8224
S 0.3109 0.6891 0.5573
S 0.3382 0.6618 0.1744
S 0.4895 0.5105 0.4606
S 0.5105 0.4895 0.9606
S 0.6618 0.3382 0.6744
S 0.6891 0.3109 0.0573
S 0.6942 0.3058 0.3224
S 0.9402 0.0598 0.6829

For the density of states at the Fermi level, the calculation gives 1.72 states/eV/f.u. Its space group is Cmc2_1, No. 36.

---

Record 16
Material: K2SnAs2S6
Method: DFT, PBE-GGA
State: relaxed

a b c (Å): 6.7811 6.7811 7.3959
angles (deg): 90.00 90.00 120.00
Atoms (fractional coordinates):
K 0.3333 0.6667 0.1017
K 0.6667 0.3333 0.8983
Sn 0.0000 0.0000 0.5000
As 0.3333 0.6667 0.5657
As 0.6667 0.3333 0.4343
S 0.1093 0.3385 0.7218
S 0.2292 0.8907 0.7218
S 0.3385 0.2292 0.2782
S 0.6615 0.7708 0.7218
S 0.7708 0.1093 0.2782
S 0.8907 0.6615 0.2782

Its space group is P-3, No. 147.

---

Record 17
Material: K2SrAsS4
Method: DFT, PBE-GGA
State: relaxed

a b c (Å): 7.7361 8.2899 8.3945
angles (deg): 66.44 75.70 78.50
Atoms (fractional coordinates):
K 0.0000 0.0000 0.0000
K 0.0056 0.9451 0.4876
K 0.0481 0.4828 0.0924
K 0.5153 0.9308 0.4632
Sr 0.5614 0.4120 0.4355
Sr 0.5734 0.3907 0.9190
As 0.0772 0.3842 0.6669
As 0.5157 0.9181 0.9851
S 0.2215 0.2921 0.4438
S 0.2639 0.5686 0.6681
S 0.3228 0.0864 0.1094
S 0.3781 0.7650 0.9016
S 0.6880 0.0994 0.7562
S 0.6928 0.7502 0.1704
S 0.7613 0.2315 0.2080
S 0.8307 0.5682 0.5703

For the density of states at the Fermi level, the calculation gives 0.00 states/eV/f.u. Its space group is P1, No. 1.

---

Record 18
Material: K2SrAs2S6
Method: DFT, PBE-GGA
State: relaxed

a b c (Å): 6.9069 6.9069 8.5074
angles (deg): 107.40 107.40 66.29
Atoms (fractional coordinates):
K 0.1884 0.1884 0.1409
K 0.8116 0.8116 0.8591
Sr 0.0000 0.0000 0.5000
As 0.4666 0.4666 0.6332
As 0.5334 0.5334 0.3668
S 0.2111 0.6831 0.2223
S 0.2697 0.2697 0.5383
S 0.3169 0.7889 0.7777
S 0.6831 0.2111 0.2223
S 0.7303 0.7303 0.4617
S 0.7889 0.3169 0.7777

Its space group is C2/m, No. 12.

---

Record 19
Material: KTaAs2S8
Method: DFT, PBE-GGA
State: relaxed

a b c (Å): 10.3931 10.3931 10.3931
angles (deg): 34.46 34.46 34.46
Atoms (fractional coordinates):
K 0.0000 0.0000 0.0000
Ta 0.5000 0.5000 0.5000
As 0.2374 0.2374 0.2374
As 0.7626 0.7626 0.7626
S 0.1352 0.4345 0.7884
S 0.2116 0.8648 0.5655
S 0.3092 0.3092 0.3092
S 0.4345 0.7884 0.1352
S 0.5655 0.2116 0.8648
S 0.6908 0.6908 0.6908
S 0.7884 0.1352 0.4345
S 0.8648 0.5655 0.2116

Its space group is R-3, No. 148.

---

Record 20
Material: K2TbAs2S6
Method: DFT, PBE-GGA
State: relaxed

a b c (Å): 6.8823 6.8823 8.3525
angles (deg): 113.42 113.42 62.41
Atoms (fractional coordinates):
K 0.2002 0.2002 0.1758
K 0.7998 0.7998 0.8242
Tb 0.0000 0.0000 0.5000
As 0.4519 0.4519 0.8075
As 0.5481 0.5481 0.1925
S 0.1904 0.6979 0.2140
S 0.2507 0.2507 0.5862
S 0.3021 0.8096 0.7860
S 0.6979 0.1904 0.2140
S 0.7493 0.7493 0.4138
S 0.8096 0.3021 0.7860

For the density of states at the Fermi level, the calculation gives 3.58 states/eV/f.u. Its space group is C2/m, No. 12.

---

Record 21
Material: K2TbAsS4
Method: DFT, PBE-GGA
State: relaxed

a b c (Å): 8.2435 8.2435 8.2435
angles (deg): 120.50 119.51 90.00
Atoms (fractional coordinates):
K 0.0000 0.0000 0.0000
K 0.5000 0.0000 0.0000
K 0.5000 0.0000 0.5000
K 0.5000 0.5000 0.5000
Tb 0.0000 0.5000 0.5000
Tb 0.5000 0.5000 0.0000
As 0.0000 0.0000 0.5000
As 0.0000 0.5000 0.0000
S 0.1982 0.7376 0.4606
S 0.2230 0.2624 0.9606
S 0.2291 0.2549 0.5258
S 0.2291 0.7033 0.9742
S 0.7709 0.2967 0.0258
S 0.7709 0.7451 0.4742
S 0.7770 0.7376 0.0394
S 0.8018 0.2624 0.5394

For the density of states at the Fermi level, the calculation gives 0.00 states/eV/f.u. Its space group is Imma, No. 74.

---

no.,energy (eV per cell),E_form (uncorrected) (eV/atom),mass density (g/cm3)
1,-41.503,-0.5244,2.4
2,-15.032,-0.2576,2.7
3,-32.814,-0.8071,1.7
4,-36.111,-0.4422,2.5
5,-31.659,-0.4569,2.3
6,-11.581,1.4131,3.7
7,-63.906,-0.5596,3.4
8,-46.848,-0.3129,2.5
9,-9.400,1.7216,1.8
10,-14.628,-0.0344,2.3
11,-16.696,0.2626,3.9
12,-92.192,-0.4738,2.3
13,-74.368,-1.1388,3.5
14,-63.804,-0.5681,3.4
15,-73.386,-0.5787,2.8
16,-46.924,-0.6057,3.0
17,-67.410,-1.0836,2.6
18,-46.342,-0.7638,2.4
19,-59.453,-0.3487,3.2
20,-50.024,-0.8305,3.1
21,-74.392,-1.1514,3.7